1.
AlSBr3 | PBE-GGA | optimized geometry

E above lowest polymorph	613	meV/atom
SG	Pm-3m
E_form (uncorrected)	0.98	eV/f.u.
final energy	-2.38	eV/atom

Cell lengths 5.259, 5.259, 5.259 Å; angles 90.00, 90.00, 90.00 degrees
Sites, in units of the cell vectors:
1 Br 0.000 0.500 0.000
2 Br 0.500 0.000 0.000
3 S 0.000 0.000 0.000
4 Br 0.000 0.000 0.500
5 Al 0.500 0.500 0.500


2.
AlS2Br | PBE-GGA | optimized geometry

E above lowest polymorph	1086	meV/atom
SG	Fm-3m
E_form (uncorrected)	2.06	eV/f.u.
final energy	-2.90	eV/atom

Cell lengths 4.678, 4.678, 4.678 Å; angles 60.00, 60.00, 60.00 degrees
Sites, in units of the cell vectors:
1 Br 0.500 0.500 0.500
2 S 0.250 0.250 0.250
3 S 0.750 0.750 0.750
4 Al 0.000 0.000 0.000